1.
# SiPRh (PBE, optimized geometry)
# Size of the total moment: 0.000 μB/atom
# N(E_F): 0.3443 states/eV/atom
# Raw total energy: -6.4062 eV/atom
# Crystal system: triclinic
data_SiPRh
_chemical_formula_sum 'Si1 P1 Rh1'
_cell_length_a 2.8533
_cell_length_b 3.9334
_cell_length_c 4.8908
_cell_angle_alpha 78.11
_cell_angle_beta 73.16
_cell_angle_gamma 68.87
_space_group_name_H-M_alt 'P 1'
_space_group_IT_number 1
loop_
_space_group_symop_operation_xyz
'x,y,z'
loop_
_atom_site_label
_atom_site_fract_x
_atom_site_fract_y
_atom_site_fract_z
_atom_site_occupancy
Si1 0.0000 0.0000 0.0000 1
P1 0.1956 0.0879 0.5158 1
Rh1 0.6010 0.5323 0.2630 1

***

2.
# YCuBr2 (PBE, optimized geometry)
# Size of the total moment: 0.000 μB/atom
# Energy above the most stable polymorph in this dataset: 0.478 eV/atom
# Crystal system: cubic
data_YCuBr2
_chemical_formula_sum 'Y4 Cu4 Br8'
_cell_length_a 7.2335
_cell_length_b 7.2335
_cell_length_c 7.2335
_cell_angle_alpha 90.00
_cell_angle_beta 90.00
_cell_angle_gamma 90.00
_space_group_name_H-M_alt 'F -4 3 m'
_space_group_IT_number 216
_space_group_name_Hall 'F -4 2 3'
loop_
_atom_site_label
_atom_site_fract_x
_atom_site_fract_y
_atom_site_fract_z
_atom_site_occupancy
Y1 0.0000 0.0000 0.0000 1
Cu1 0.2500 0.2500 0.2500 1
Br1 0.0000 0.0000 0.5000 1
Br2 0.2500 0.2500 0.7500 1

***

3.
# Ac3LaGe2 (PBE, optimized geometry)
# Size of the total moment: 0.000 μB/atom
# N(E_F): 1.0449 states/eV/atom
# Energy above the most stable polymorph in this dataset: 0.228 eV/atom
# Crystal system: trigonal
# Formation enthalpy at 0 K: -0.291 eV/atom
data_Ac3LaGe2
_chemical_formula_sum 'Ac18 La6 Ge12'
_cell_length_a 8.4280
_cell_length_b 8.4280
_cell_length_c 21.2031
_cell_angle_alpha 90.00
_cell_angle_beta 90.00
_cell_angle_gamma 120.00
_space_group_name_H-M_alt 'R -3 c'
_space_group_IT_number 167
_space_group_name_Hall '-R 3 2"c'
loop_
_atom_site_label
_atom_site_fract_x
_atom_site_fract_y
_atom_site_fract_z
_atom_site_occupancy
Ac1 0.0000 0.2789 0.2500 1
La1 0.0000 0.0000 0.0000 1
Ge1 0.0000 0.0000 0.1443 1

***

4.
# CsNiIr3 (PBE, optimized geometry)
# Size of the total moment: 0.000 μB/atom
# N(E_F): 3.5894 states/eV/atom
# Energy above the most stable polymorph in this dataset: 0.000 eV/atom
# Crystal system: cubic
# Formation enthalpy at 0 K: 1.652 eV/atom
data_CsNiIr3
_chemical_formula_sum 'Cs1 Ni1 Ir3'
_cell_length_a 4.7056
_cell_length_b 4.7056
_cell_length_c 4.7056
_cell_angle_alpha 90.00
_cell_angle_beta 90.00
_cell_angle_gamma 90.00
_space_group_name_H-M_alt 'P m -3 m'
_space_group_IT_number 221
_space_group_name_Hall '-P 4 2 3'
loop_
_atom_site_label
_atom_site_fract_x
_atom_site_fract_y
_atom_site_fract_z
_atom_site_occupancy
Cs1 0.0000 0.0000 0.0000 1
Ni1 0.5000 0.5000 0.5000 1
Ir1 0.0000 0.5000 0.5000 1

***

5.
# KZrAg2Bi (PBE, optimized geometry)
# Size of the total moment: 0.000 μB/atom
# N(E_F): 0.4652 states/eV/atom
# Crystal system: tetragonal
# Formation enthalpy at 0 K: 1.265 eV/atom
data_KZrAg2Bi
_chemical_formula_sum 'K1 Zr1 Ag2 Bi1'
_cell_length_a 5.0646
_cell_length_b 5.0646
_cell_length_c 5.9067
_cell_angle_alpha 90.00
_cell_angle_beta 90.00
_cell_angle_gamma 90.00
_space_group_name_H-M_alt 'P 4/m m m'
_space_group_IT_number 123
_space_group_name_Hall '-P 4 2'
loop_
_atom_site_label
_atom_site_fract_x
_atom_site_fract_y
_atom_site_fract_z
_atom_site_occupancy
K1 0.0000 0.0000 0.0000 1
Zr1 0.5000 0.5000 0.5000 1
Ag1 0.0000 0.5000 0.0000 1
Bi1 0.0000 0.0000 0.5000 1

***

6.
# LaSmSi (PBE, optimized geometry)
# Size of the total moment: 0.000 μB/atom
# N(E_F): 1.0840 states/eV/atom
# Energy above the most stable polymorph in this dataset: 0.072 eV/atom
# Crystal system: cubic
data_LaSmSi
_chemical_formula_sum 'La4 Sm4 Si4'
_cell_length_a 7.1321
_cell_length_b 7.1321
_cell_length_c 7.1321
_cell_angle_alpha 90.00
_cell_angle_beta 90.00
_cell_angle_gamma 90.00
_space_group_name_H-M_alt 'F -4 3 m'
_space_group_IT_number 216
_space_group_name_Hall 'F -4 2 3'
loop_
_atom_site_label
_atom_site_fract_x
_atom_site_fract_y
_atom_site_fract_z
_atom_site_occupancy
La1 0.0000 0.0000 0.0000 1
Sm1 0.0000 0.0000 0.5000 1
Si1 0.2500 0.2500 0.7500 1

***

7.
# AgW2Br (PBE, optimized geometry)
# Size of the total moment: 0.000 μB/atom
# N(E_F): 0.7909 states/eV/atom
# Energy above the most stable polymorph in this dataset: 0.608 eV/atom
# Crystal system: monoclinic
data_AgW2Br
_chemical_formula_sum 'Ag2 W4 Br2'
_cell_length_a 9.8917
_cell_length_b 3.0034
_cell_length_c 4.8501
_cell_angle_alpha 90.00
_cell_angle_beta 102.30
_cell_angle_gamma 90.00
_space_group_name_H-M_alt 'C 1 2/m 1'
_space_group_IT_number 12
loop_
_space_group_symop_operation_xyz
'x,y,z'
'-x,-y,-z'
'-x,y,-z'
'x,-y,z'
'x+1/2,y+1/2,z'
'-x+1/2,-y+1/2,-z'
'-x+1/2,y+1/2,-z'
'x+1/2,-y+1/2,z'
loop_
_atom_site_label
_atom_site_fract_x
_atom_site_fract_y
_atom_site_fract_z
_atom_site_occupancy
Ag1 0.0000 0.0000 0.0000 1
W1 0.2459 0.0000 0.7560 1
Br1 0.0000 0.5000 0.5000 1

***

8.
# ScReAu2 (PBE, optimized geometry)
# Size of the total moment: 0.000 μB/atom
# N(E_F): 0.8443 states/eV/atom
# Energy above the most stable polymorph in this dataset: 0.011 eV/atom
# Crystal system: orthorhombic
# Formation enthalpy at 0 K: -0.043 eV/atom
data_ScReAu2
_chemical_formula_sum 'Sc2 Re2 Au4'
_cell_length_a 5.7113
_cell_length_b 8.1929
_cell_length_c 2.9492
_cell_angle_alpha 90.00
_cell_angle_beta 90.00
_cell_angle_gamma 90.00
_space_group_name_H-M_alt 'C m m m'
_space_group_IT_number 65
_space_group_name_Hall '-C 2 2'
loop_
_atom_site_label
_atom_site_fract_x
_atom_site_fract_y
_atom_site_fract_z
_atom_site_occupancy
Sc1 0.0000 0.0000 0.0000 1
Re1 0.0000 0.5000 0.0000 1
Au1 0.2500 0.2500 0.5000 1

***

- Number 3 is which compound?
  Ac3LaGe2